(1)
Material: TbHo2Au
Method: DFT, GGA-PBE
State: optimized geometry

Unit cell a=3.6557 b=3.6557 c=29.9955 alpha=90.00 beta=90.00 gamma=120.00
Space group R-3m (No. 166, hexagonal axes)
Symmetry-distinct sites (fractional):
Tb 0.0000 0.0000 0.0000
Ho 0.0000 0.0000 0.2368
Au 0.0000 0.0000 0.5000

Properties
Total magnetization ... 0.000 μB per formula unit
Energy of formation from the pure elements ... -0.2806 eV per atom
D(E_F) ... 1.24 states/eV per atom
ΔE to the lowest computed polymorph ... 167.2 meV/atom

---

(2)
Material: K2SbMo2
Method: DFT, GGA-PBE
State: optimized geometry

Unit cell a=10.327 b=10.327 c=2.829 alpha=90.00 beta=90.00 gamma=90.00
Space group P4/mbm (No. 127)
Symmetry-distinct sites (fractional):
K 0.124 0.376 0.000
Sb 0.000 0.000 0.000
Mo 0.178 0.678 0.500

Properties
Total magnetization ... 5.523 μB per formula unit
Uncorrected formation energy ... 1.8474 eV per atom
D(E_F) ... 1.01 states/eV per atom
ΔE to the lowest computed polymorph ... 1270.7 meV/atom